Entry 1:
This record from the Alexandria database describes Ta3VOs after structural relaxation. The functional is GGA-PBE.

Cell lengths 4.8410, 4.8410, 4.8410 Å; angles 90.00, 90.00, 90.00 degrees
Each line ends with the local moment (μB).
Positions (direct):
Ta  0.0000  0.5000  0.0000  -0.01
Ta  0.0000  0.0000  0.5000  -0.01
Ta  0.5000  0.0000  0.0000  -0.01
Os  0.0000  0.0000  0.0000  0.10
V  0.5000  0.5000  0.5000  2.56

Properties
formation energy from the elements: 1.3417 eV per atom
total magnetization: 0.656 μB/atom
energy above the lowest structure with this stoichiometry: 35.68 kcal/mol of atoms
calculated density: 11.48 g/cm³
DOS(E_F): 7.3 states/eV/cell
crystal system: cubic
SG: Pm-3m (221)

Entry 2:
This record from the Alexandria database describes BeMoOs2N after structural relaxation. The functional is GGA-PBE.

Cell lengths 4.0361, 4.2335, 4.0361 Å; angles 90.00, 90.00, 90.00 degrees
Positions (direct):
Be  0.0000  0.0000  0.0000
Mo  0.0000  0.5000  0.0000
Os  0.0000  0.0000  0.5000
Os  0.5000  0.0000  0.0000
N  0.5000  0.5000  0.5000

Properties
total magnetization: 0.000 μB/atom
calculated density: 12.02 g/cm³
DOS(E_F): 5.4 states/eV/cell
crystal system: tetragonal
SG: P4/mmm (123)
formation energy without anion corrections: 1.966 eV per atom

Entry 3:
This record from the Alexandria database describes Nb2TlBi after structural relaxation. The functional is GGA-PBE.

Cell lengths 4.2705, 4.2705, 10.8705 Å; angles 78.67, 78.67, 90.00 degrees
Positions (direct):
Tl  0.5000  0.5000  0.0000
Tl  0.2500  0.7500  0.5000
Bi  0.0000  0.0000  0.0000
Bi  0.7500  0.2500  0.5000
Nb  0.5961  0.1250  0.2500
Nb  0.1539  0.6250  0.2500
Nb  0.3750  0.4039  0.7500
Nb  0.8750  0.8461  0.7500

Properties
formation energy from the elements: 0.6829 eV per atom
total magnetization: 0.000 μB/atom
energy above the lowest structure with this stoichiometry: 4.56 kcal/mol of atoms
calculated density: 10.45 g/cm³
DOS(E_F): 7.1 states/eV/cell
crystal system: tetragonal
SG: I-42d (122)

Entry 4:
This record from the Alexandria database describes PrIn2Hg5 after structural relaxation. The functional is GGA-PBE.

Cell lengths 8.0051, 8.0051, 8.7876 Å; angles 117.10, 117.10, 90.00 degrees
Positions (direct):
Pr  0.7500  0.7500  0.5000
Pr  0.2500  0.2500  0.5000
In  0.1507  0.3493  0.0000
In  0.6507  0.1507  0.0000
In  0.3493  0.8493  0.0000
In  0.8493  0.6507  0.0000
Hg  0.4841  0.6938  0.6780
Hg  0.8062  0.0159  0.3220
Hg  0.0000  0.0000  0.0000
Hg  0.5000  0.5000  0.0000
Hg  0.1938  0.9841  0.6780
Hg  0.6938  0.1938  0.6780
Hg  0.9841  0.4841  0.6780
Hg  0.3062  0.8062  0.3220
Hg  0.0159  0.5159  0.3220
Hg  0.5159  0.3062  0.3220

Properties
formation energy from the elements: -0.1301 eV per atom
total magnetization: 0.000 μB/atom
energy above the lowest structure with this stoichiometry: 2.04 kcal/mol of atoms
calculated density: 10.59 g/cm³
DOS(E_F): 6.7 states/eV/cell
crystal system: tetragonal
SG: I4/mcm (140)

Entry 5:
This record from the Alexandria database describes BaMg2Tl after structural relaxation. The functional is GGA-PBE.

Cell lengths 5.1998, 3.7071, 6.8059 Å; angles 78.93, 90.00, 90.00 degrees
Positions (direct):
Ba  0.5000  0.7500  0.7500
Mg  0.0000  0.1127  0.0416
Mg  0.0000  0.3873  0.4584
Tl  0.5000  0.2500  0.2500

Properties
formation energy from the elements: -0.0661 eV per atom
total magnetization: 0.000 μB/atom
energy above the lowest structure with this stoichiometry: 2.77 kcal/mol of atoms
calculated density: 5.03 g/cm³
DOS(E_F): 2.4 states/eV/cell
crystal system: monoclinic
SG: P2/m (10)

Entry 6:
This record from the Alexandria database describes YMoBr3 after structural relaxation. The functional is GGA-PBE.

Cell lengths 5.6040, 5.6040, 5.6040 Å; angles 90.00, 90.00, 90.00 degrees
Each line ends with the local moment (μB).
Positions (direct):
Y  0.0000  0.0000  0.0000  0.03
Mo  0.5000  0.5000  0.5000  4.21
Br  0.0000  0.5000  0.0000  0.04
Br  0.0000  0.0000  0.5000  0.04
Br  0.5000  0.0000  0.0000  0.03

Properties
total magnetization: 1.177 μB/atom
energy above the lowest structure with this stoichiometry: 0.00 kcal/mol of atoms
calculated density: 4.01 g/cm³
DOS(E_F): 2.5 states/eV/cell
crystal system: cubic
SG: Pm-3m (221)
formation energy without anion corrections: -0.210 eV per atom

Entry 7:
This record from the Alexandria database describes LiErSn2 after structural relaxation. The functional is GGA-PBE.

Cell lengths 3.4382, 3.4382, 9.9573 Å; angles 80.06, 80.06, 60.00 degrees
Positions (direct):
Li  0.0000  0.0000  0.0000
Sn  0.7448  0.7448  0.7655
Sn  0.2552  0.2552  0.2345
Er  0.5000  0.5000  0.5000

Properties
formation energy from the elements: -0.3116 eV per atom
total magnetization: 0.000 μB/atom
energy above the lowest structure with this stoichiometry: 5.21 kcal/mol of atoms
calculated density: 6.84 g/cm³
DOS(E_F): 3.2 states/eV/cell
crystal system: trigonal
SG: R-3m (166)

Entry 8:
This record from the Alexandria database describes Al14ZnAg after structural relaxation. The functional is GGA-PBE.

Cell lengths 5.6900, 5.6900, 9.4561 Å; angles 90.00, 90.00, 119.67 degrees
Positions (direct):
Al  0.2090  0.7910  0.0000
Al  0.7085  0.2915  0.0000
Al  0.0449  0.4585  0.5000
Al  0.2083  0.2928  0.0000
Al  0.5415  0.9551  0.5000
Al  0.7072  0.7917  0.0000
Al  0.3786  0.1267  0.7483
Al  0.3786  0.1267  0.2517
Al  0.8733  0.6214  0.7483
Al  0.8733  0.6214  0.2517
Al  0.3743  0.6257  0.7495
Al  0.3743  0.6257  0.2505
Al  0.8726  0.1274  0.7496
Al  0.8726  0.1274  0.2504
Zn  0.5411  0.4589  0.5000
Ag  0.0419  0.9581  0.5000

Properties
formation energy from the elements: 0.0099 eV per atom
total magnetization: 0.000 μB/atom
calculated density: 3.44 g/cm³
DOS(E_F): 7.3 states/eV/cell
crystal system: orthorhombic
SG: Amm2 (38)

Entry 9:
This record from the Alexandria database describes TlTc2P after structural relaxation. The functional is GGA-PBE.

Cell lengths 4.5394, 4.5394, 4.5394 Å; angles 60.00, 60.00, 60.00 degrees
Positions (direct):
Tl  0.2500  0.2500  0.2500
Tc  0.0000  0.0000  0.0000
Tc  0.7500  0.7500  0.7500
P  0.5000  0.5000  0.5000

Properties
formation energy from the elements: 0.7270 eV per atom
total magnetization: 0.000 μB/atom
energy above the lowest structure with this stoichiometry: 15.75 kcal/mol of atoms
calculated density: 10.83 g/cm³
DOS(E_F): 4.1 states/eV/cell
crystal system: cubic
SG: F-43m (216)

Entry 10:
This record from the Alexandria database describes BeNi2Bi after structural relaxation. The functional is GGA-PBE.

Cell lengths 4.3018, 4.3018, 7.8309 Å; angles 74.06, 74.06, 90.00 degrees
Positions (direct):
Ni  0.4781  0.1250  0.2500
Ni  0.2719  0.6250  0.2500
Ni  0.3750  0.5219  0.7500
Ni  0.8750  0.7281  0.7500
Bi  0.0000  0.0000  0.0000
Bi  0.7500  0.2500  0.5000
Be  0.5000  0.5000  0.0000
Be  0.2500  0.7500  0.5000

Properties
formation energy from the elements: 0.3538 eV per atom
total magnetization: 0.000 μB/atom
energy above the lowest structure with this stoichiometry: 2.72 kcal/mol of atoms
calculated density: 8.34 g/cm³
DOS(E_F): 3.6 states/eV/cell
crystal system: tetragonal
SG: I-42d (122)

Entry 11:
This record from the Alexandria database describes Re2SiAg after structural relaxation. The functional is GGA-PBE.

Cell lengths 2.8458, 3.8607, 5.5722 Å; angles 90.00, 90.00, 90.00 degrees
Positions (direct):
Ag  0.5000  0.5000  0.7369
Re  0.0000  0.0000  0.0317
Re  0.5000  0.5000  0.2366
Si  0.0000  0.0000  0.4948

Properties
total magnetization: 0.000 μB/atom
calculated density: 13.79 g/cm³
DOS(E_F): 2.4 states/eV/cell
crystal system: orthorhombic
SG: Pmm2 (25)
formation energy without anion corrections: 0.368 eV per atom

Entry 12:
This record from the Alexandria database describes Pm2ErScAs4 after structural relaxation. The functional is GGA-PBE.

Cell lengths 4.1216, 7.1303, 7.1134 Å; angles 109.53, 90.00, 90.00 degrees
Positions (direct):
Pm  0.5000  0.0000  0.5000
Pm  0.0000  0.5000  0.5000
Er  0.5000  0.5000  0.0000
Sc  0.0000  0.0000  0.0000
As  0.5000  0.2387  0.2322
As  0.5000  0.7613  0.7678
As  0.0000  0.2493  0.7638
As  0.0000  0.7507  0.2362

Properties
formation energy from the elements: -1.4643 eV per atom
total magnetization: 0.000 μB/atom
calculated density: 6.76 g/cm³
DOS(E_F): 0.9 states/eV/cell
crystal system: monoclinic
SG: P2/m (10)

Entry 13:
This record from the Alexandria database describes ZrCoSe3 after structural relaxation. The functional is GGA-PBE.

Cell lengths 4.6297, 4.6297, 4.6297 Å; angles 90.00, 90.00, 90.00 degrees
Positions (direct):
Co  0.0000  0.0000  0.0000
Se  0.0000  0.5000  0.0000
Se  0.0000  0.0000  0.5000
Se  0.5000  0.0000  0.0000
Zr  0.5000  0.5000  0.5000

Properties
total magnetization: 0.000 μB/atom
energy above the lowest structure with this stoichiometry: 0.00 kcal/mol of atoms
calculated density: 6.48 g/cm³
DOS(E_F): 2.3 states/eV/cell
crystal system: cubic
SG: Pm-3m (221)
formation energy without anion corrections: -0.077 eV per atom